Computed, not measured: a relaxed structure of Mo2NF at the PBE with a Hubbard U level of DFT. Values from VASP.

Properties
- Symmetry: No. 225
- Total magnetic moment: 4.00 Bohr magnetons per cell
- VASP energy: -5.31 eV/atom

Geometry as Quantum ESPRESSO input:
```
&SYSTEM
  ibrav = 0, nat = 4, ntyp = 3
/
ATOMIC_SPECIES
N 14.01 N.upf
Mo 95.94 Mo.upf
F 19.00 F.upf
CELL_PARAMETERS angstrom
0.0000 2.8635 2.8635
2.8635 0.0000 2.8635
2.8635 2.8635 0.0000
ATOMIC_POSITIONS crystal
N 0.0000 0.0000 0.0000
Mo 0.2500 0.2500 0.2500
Mo 0.7500 0.7500 0.7500
F 0.5000 0.5000 0.5000
```